# 1
Material: Pr3Sm2Ge4
Method: DFT, PBE-GGA
State: optimized geometry

Structure (extended XYZ):
```
9
Lattice="4.5048 0.0000 0.0000 -2.2524 5.8373 -0.0014 0.0000 -1.5795 9.7463" Properties=species:S:1:pos:R:3 pbc="T T T"
Ge 2.2524 1.6410 1.0797
Ge 2.2524 4.1820 3.7959
Ge 0.0000 2.6168 8.6652
Ge 0.0000 0.0758 5.9490
Pr 2.2524 0.7676 3.8787
Pr 0.0000 0.0000 0.0000
Pr 0.0000 3.4901 5.8662
Sm 0.0000 3.4425 1.8146
Sm 2.2524 0.8152 7.9303
```

Calculated values
Relative energy among the computed polymorphs: 128.7 meV per atom
Calculated volume: 256.28 Å³/cell
SG: C2/m
Crystal system: monoclinic

# 2
Material: Pr3SmGe4
Method: DFT, PBE-GGA
State: optimized geometry

Structure (extended XYZ):
```
8
Lattice="-3.9925 -1.2182 0.4340 -0.8694 0.5444 -6.4697 4.7101 -7.4763 2.0542" Properties=species:S:1:pos:R:3 pbc="T T T"
Pr 0.8912 -3.0549 -0.3767
Pr -0.4347 0.2722 -3.2348
Pr -1.0428 -5.0952 -3.6048
Ge -1.6725 -2.4735 -2.0383
Ge 1.5208 -5.6766 -1.9432
Ge 1.8515 -5.8839 0.5171
Ge -2.0032 -2.2663 -4.4986
Sm -1.9962 -0.6091 0.2170
```

Calculated values
Calculated volume: 225.30 Å³/cell
SG: Immm
Crystal system: orthorhombic

# 3
Material: Pr4Sm3Ge4
Method: DFT, PBE-GGA
State: optimized geometry

Structure (extended XYZ):
```
11
Lattice="-2.9389 0.9491 2.3425 -5.4895 0.3511 -7.0294 2.2974 -9.2231 3.4121" Properties=species:S:1:pos:R:3 pbc="T T T"
Ge -3.8093 -4.5859 -2.9211
Ge -5.7260 0.7468 -4.2794
Ge -2.7023 0.5534 -0.4075
Ge -2.3216 -3.3370 1.6464
Pr -3.9133 -2.3366 -0.7558
Pr -0.3077 -5.7086 1.9269
Pr -5.8233 -2.2144 -3.2017
Pr -2.2177 -5.5864 -0.5189
Sm -5.7713 -6.3145 -1.4753
Sm -0.3596 -1.6085 0.2005
Sm -2.7447 0.1755 -3.5147
```

Calculated values
Calculated volume: 306.17 Å³/cell
SG: Immm
Crystal system: orthorhombic

# 4
Material: Pr2SmGe2
Method: DFT, PBE-GGA
State: optimized geometry

Structure (extended XYZ):
```
10
Lattice="4.4262 0.0000 0.0000 0.0000 7.8584 0.0000 0.0000 0.0000 7.8584" Properties=species:S:1:pos:R:3 pbc="T T T"
Ge 0.0000 2.9879 6.9171
Ge 0.0000 6.9171 4.8705
Ge 0.0000 0.9413 2.9879
Ge 0.0000 4.8705 0.9413
Pr 2.2131 2.5553 1.3739
Pr 2.2131 1.3739 5.3031
Pr 2.2131 6.4845 2.5553
Pr 2.2131 5.3031 6.4845
Sm 0.0000 0.0000 0.0000
Sm 0.0000 3.9292 3.9292
```

Calculated values
Relative energy among the computed polymorphs: 0.0 meV per atom
Calculated volume: 273.34 Å³/cell
SG: P4/mbm
Crystal system: tetragonal

# 5
Material: Pr2Sm2Ge3
Method: DFT, PBE-GGA
State: optimized geometry

Structure (extended XYZ):
```
7
Lattice="-2.5557 1.2802 -3.1131 3.5389 -5.8602 -2.4471 -5.9661 -3.3399 3.5287" Properties=species:S:1:pos:R:3 pbc="T T T"
Pr -1.5575 -2.5865 0.2150
Pr -3.4253 -5.3335 -2.2465
Sm -6.0332 -3.7111 0.5615
Sm 1.0504 -4.2089 -2.5930
Ge -3.3440 -4.9584 0.7090
Ge -1.6388 -2.9616 -2.7405
Ge 0.0000 0.0000 0.0000
```

Calculated values
Calculated volume: 222.08 Å³/cell
SG: C2/m
Crystal system: monoclinic

# 6
Material: PrSmGe
Method: DFT, PBE-GGA
State: optimized geometry

Structure (extended XYZ):
```
3
Lattice="-4.8253 -0.5315 1.4142 -1.3462 -3.8388 3.0029 -1.3425 0.8900 4.7929" Properties=species:S:1:pos:R:3 pbc="T T T"
Pr -3.7570 -1.7402 4.6050
Sm 0.0000 0.0000 0.0000
Ge -1.8785 -0.8701 2.3025
```

Calculated values
Relative energy among the computed polymorphs: 78.9 meV per atom
Calculated volume: 91.41 Å³/cell
SG: F-43m
Crystal system: cubic

Total energy, record by record: -5.38, -5.35, -5.31, -5.45, -5.29, -5.24 eV per atom